First-principles (PBE) data for B7C5 after structural relaxation, as listed in the Alexandria database.

```
B7C5
1.0
4.393 -1.277 0.000
4.393 1.277 0.000
-4.113 0.000 7.270
B C
7 5
Cartesian
0.000 0.000 0.000
0.567 0.000 4.962
3.816 0.000 1.300
2.384 0.000 4.656
2.149 0.000 6.357
3.872 0.000 5.784
6.264 0.000 2.334
-1.652 0.000 3.662
1.579 0.000 0.005
-0.134 0.000 3.417
2.261 0.000 1.287
4.658 0.000 2.629
```

Calculated values
The energy relative to the lowest polymorph listed for this composition comes out at 248 meV per atom. The density of states at the Fermi level comes out at 2.595 states/eV/cell. For the total energy, the calculation gives -7.33 eV/atom. The formation energy is 0.412 eV per atom. The space group is Cm (8). The total magnetization is 0.0 μB per formula unit.


First-principles (PBE) data for BC after structural relaxation, as listed in the Alexandria database.

```
BC
1.0
5.776 -1.339 0.000
5.776 1.339 0.000
-0.905 0.000 5.283
B C
6 6
Cartesian
0.000 0.000 0.000
-0.519 0.000 3.219
1.207 0.000 2.645
3.619 0.000 4.077
7.059 0.000 5.023
8.234 0.000 3.663
0.558 0.000 4.498
3.882 0.000 1.344
4.553 0.000 2.747
5.037 0.000 0.298
7.661 0.000 2.246
8.758 0.000 1.154
```

Calculated values
The energy relative to the lowest polymorph listed for this composition comes out at 190 meV per atom. The density of states at the Fermi level comes out at 1.290 states/eV/cell. For the total energy, the calculation gives -7.61 eV/atom. The formation energy is 0.340 eV per atom. The space group is Cm (8). The total magnetization is 0.0 μB per formula unit.


First-principles (PBE) data for BC after structural relaxation, as listed in the Alexandria database.

```
BC
1.0
3.564 0.000 0.000
-1.722 4.195 0.000
-0.312 -1.502 5.344
B C
6 6
Cartesian
-0.482 1.074 1.140
0.483 0.536 2.780
-0.368 3.431 1.883
1.898 -0.738 3.461
1.047 2.157 2.564
2.012 1.619 4.204
-0.627 0.367 3.932
0.218 -0.020 5.107
1.034 -1.252 4.777
0.496 3.945 0.566
1.312 2.713 0.237
2.157 2.326 1.412
```

Calculated values
The energy relative to the lowest polymorph listed for this composition comes out at 203 meV per atom. The density of states at the Fermi level comes out at 2.015 states/eV/cell. For the total energy, the calculation gives -7.60 eV/atom. The formation energy is 0.353 eV per atom. The space group is P-1 (2). The total magnetization is 0.0 μB per formula unit.


First-principles (PBE) data for B7C5 after structural relaxation, as listed in the Alexandria database.

```
B7C5
1.0
4.151 -1.293 0.000
4.151 1.293 0.000
-3.287 0.000 7.330
B C
7 5
Cartesian
0.000 0.000 0.000
-0.359 0.000 1.743
-1.843 0.000 5.858
-0.051 0.000 6.416
2.635 0.000 3.578
4.789 0.000 2.551
6.302 0.000 0.948
1.720 0.000 0.131
0.392 0.000 4.776
1.907 0.000 5.050
4.179 0.000 4.037
6.453 0.000 2.592
```

Calculated values
The energy relative to the lowest polymorph listed for this composition comes out at 205 meV per atom. The density of states at the Fermi level comes out at 2.829 states/eV/cell. For the total energy, the calculation gives -7.37 eV/atom. The formation energy is 0.369 eV per atom. The space group is Cm (8). The total magnetization is 0.0 μB per formula unit.